Entry from Alexandria via LeMat-Bulk: a geometry-optimized SmBiWO6 structure (PBE with a Hubbard U).

Lattice parameters (Å, degrees): 5.706 5.706 9.519 90.00 90.00 120.00
Fractional coordinates of all 18 atoms:
Sm  0.333  0.667  0.250
Sm  0.667  0.333  0.750
Bi  0.000  0.000  0.000
Bi  0.000  0.000  0.500
W  0.333  0.667  0.750
W  0.667  0.333  0.250
O  0.049  0.380  0.636
O  0.049  0.669  0.864
O  0.331  0.380  0.864
O  0.331  0.951  0.636
O  0.380  0.049  0.136
O  0.380  0.331  0.364
O  0.620  0.669  0.636
O  0.620  0.951  0.864
O  0.669  0.049  0.364
O  0.669  0.620  0.136
O  0.951  0.331  0.136
O  0.951  0.620  0.364

Total moment = 0.0 μB/f.u.
Space group = No. 163
Calculated total energy = -7.26 eV per atom